Computed, not measured: a geometry-optimized ZrTl2Br structure at the GGA-PBEsol level of DFT.

abc: 6.0170 6.0170 6.0170
angles: 138.67 138.67 59.88
Atoms (fractional coordinates):
Zr1 0.0000 0.0000 0.0000
Tl1 0.2500 0.7500 0.5000
Tl2 0.7500 0.2500 0.5000
Br1 0.5000 0.5000 0.0000

Summary:
Final energy (eV/atom): -4.015
Crystal system: tetragonal
Offset from the most stable computed form (meV per atom): 411.9
Size of the total moment (μB per cell): 0.0

---

Computed, not measured: a geometry-optimized BaTlAu2 structure at the GGA-PBEsol level of DFT.

abc: 5.8757 5.8757 5.8757
angles: 139.65 125.86 69.64
Atoms (fractional coordinates):
Ba1 0.0000 0.0000 0.0000
Tl1 0.7114 0.2114 0.5000
Au1 0.2775 0.7775 0.5000
Au2 0.4778 0.4778 0.0000

Summary:
Final energy (eV/atom): -3.478
Crystal system: orthorhombic
Size of the total moment (μB per cell): 0.0
ΔE_f (eV/atom): -0.3213

---

Computed, not measured: a geometry-optimized DyAg structure at the GGA-PBEsol level of DFT.

abc: 3.5680 3.5680 3.5680
angles: 90.00 90.00 90.00
Atoms (fractional coordinates):
Dy1 0.0000 0.0000 0.0000
Ag1 0.5000 0.5000 0.5000

Summary:
Final energy (eV/atom): -4.475
Crystal system: cubic
Size of the total moment (μB per cell): 0.0
ΔE_f (eV/atom): -0.3300